# 1
! FeIBrO2 (GGA+U, optimized geometry); values from VASP
! Fermi-level density of states   0.318 states/eV per atom
! Energy above the most stable polymorph in this dataset   689 meV per atom
! SG   P4/mmm
&SYSTEM
  ibrav = 0, nat = 5, ntyp = 4
/
ATOMIC_SPECIES
Fe 55.84 Fe.upf
I 126.90 I.upf
O 16.00 O.upf
Br 79.90 Br.upf
ATOMIC_POSITIONS angstrom
Fe -3.292 0.708 2.880
I -0.747 1.916 2.728
O -0.748 -1.604 0.921
Br 0.000 0.000 0.000
O -1.797 0.396 -0.770
CELL_PARAMETERS angstrom
-3.594 0.792 -1.540
-1.496 -3.207 1.842
-1.494 3.831 5.457


# 2
! FeIBrO2 (GGA+U, optimized geometry); values from VASP
! Fermi-level density of states   0.426 states/eV per atom
! Energy above the most stable polymorph in this dataset   0 meV per atom
! SG   P4/mmm
&SYSTEM
  ibrav = 0, nat = 5, ntyp = 4
/
ATOMIC_SPECIES
O 16.00 O.upf
I 126.90 I.upf
Br 79.90 Br.upf
Fe 55.84 Fe.upf
ATOMIC_POSITIONS angstrom
O -1.066 1.149 -1.231
O 0.228 -1.345 -1.452
I -2.727 -1.500 0.961
Br -3.565 -1.696 -1.722
Fe 0.000 0.000 0.000
CELL_PARAMETERS angstrom
-2.131 2.297 -2.462
0.455 -2.690 -2.905
-5.454 -2.999 1.922


# 3
! FeI2BrO (GGA+U, optimized geometry); values from VASP
! Fermi-level density of states   1.090 states/eV per atom
! Energy above the most stable polymorph in this dataset   0 meV per atom
! SG   P4/mmm
&SYSTEM
  ibrav = 0, nat = 5, ntyp = 4
/
ATOMIC_SPECIES
I 126.90 I.upf
O 16.00 O.upf
Fe 55.84 Fe.upf
Br 79.90 Br.upf
ATOMIC_POSITIONS angstrom
I 2.540 -1.254 -1.070
O 0.149 -0.983 1.504
Fe 0.000 0.000 0.000
I -1.630 -2.207 -1.282
Br 1.059 -4.444 -0.848
CELL_PARAMETERS angstrom
-3.259 -4.414 -2.564
5.080 -2.508 -2.141
0.297 -1.967 3.009


# 4
! FeI2BrO (GGA+U, optimized geometry); values from VASP
! Fermi-level density of states   0.890 states/eV per atom
! Energy above the most stable polymorph in this dataset   796 meV per atom
! SG   P4/mmm
&SYSTEM
  ibrav = 0, nat = 5, ntyp = 4
/
ATOMIC_SPECIES
I 126.90 I.upf
Br 79.90 Br.upf
Fe 55.84 Fe.upf
O 16.00 O.upf
ATOMIC_POSITIONS angstrom
I 0.000 3.015 0.000
Br 0.000 0.000 0.000
Fe 3.015 3.015 1.999
O 0.000 0.000 1.999
I 3.015 0.000 0.000
CELL_PARAMETERS angstrom
6.030 0.000 0.000
0.000 6.030 0.000
0.000 0.000 3.998